{
  "formula": "CoHOs",
  "functional": "GGA-PBE",
  "state": "relaxed",
  "cell": [[2.653, 0.000, 0.000], [0.000, 2.653, 0.000], [0.000, 0.000, 3.831]],
  "species": ["Co", "Os", "H"],
  "frac_coords": [[0.000, 0.000, 0.000], [0.500, 0.500, 0.500], [0.500, 0.500, 0.000]]
}



{
  "formula": "CoH3Os",
  "functional": "GGA-PBE",
  "state": "relaxed",
  "cell": [[3.401, 0.000, 0.000], [0.000, 3.401, 0.000], [0.000, 0.000, 3.401]],
  "species": ["Co", "H", "H", "H", "Os"],
  "frac_coords": [[0.500, 0.500, 0.500], [0.500, 0.000, 0.000], [0.000, 0.500, 0.000], [0.000, 0.000, 0.500], [0.000, 0.000, 0.000]]
}



{
  "formula": "CoHOs3",
  "functional": "GGA-PBE",
  "state": "relaxed",
  "cell": [[3.838, 0.000, 0.000], [0.000, 3.838, 0.000], [0.000, 0.000, 3.838]],
  "species": ["Os", "Os", "Os", "H", "Co"],
  "frac_coords": [[0.500, 0.000, 0.000], [0.000, 0.500, 0.000], [0.000, 0.000, 0.500], [0.000, 0.000, 0.000], [0.500, 0.500, 0.500]]
}



{
  "formula": "CoHOs",
  "functional": "GGA-PBE",
  "state": "relaxed",
  "cell": [[-1.747, -0.090, -1.962], [0.592, -2.582, -0.409], [-5.572, -2.146, 5.475]],
  "species": ["H", "H", "Os", "Os", "Co", "Co"],
  "frac_coords": [[0.739, 0.000, 0.696], [0.739, 0.500, 0.196], [0.620, 0.000, 0.032], [0.620, 0.500, 0.532], [0.085, 0.500, 0.821], [0.085, 0.000, 0.321]]
}



no.,energy (hartree per atom)
1,-0.2569
2,-0.1875
3,-0.3112
4,-0.2532